## KZnSbPb (GGA-PBE)

Data for an optimized crystal structure of KZnSbPb.

Results
Uncorrected formation energy = -166 meV per atom
Space-group type = P4/nmm

a b c (Å): 4.401 4.401 13.891
angles (deg): 90.00 90.00 90.00
Atoms (fractional coordinates):
K  0.250  0.250  0.246
K  0.750  0.750  0.754
Zn  0.250  0.750  0.000
Zn  0.750  0.250  0.000
Sb  0.250  0.250  0.878
Sb  0.750  0.750  0.122
Pb  0.250  0.750  0.500
Pb  0.750  0.250  0.500